The following is a PBE calculation of crystalline Sr4TbTh3Bi8 at its relaxed geometry, from the Alexandria database.

a b c (Å): 9.3661 9.4962 9.3660
angles (deg): 119.55 120.00 90.00
Element x y z (fractional)
Th: 0.5000 0.5000 0.5000
Bi: 0.7577 0.2696 0.5154
Bi: 0.2424 0.7304 0.9881
Sr: 0.5000 0.0000 0.5000
Sr: 0.5000 0.0000 0.0000
Bi: 0.2423 0.7304 0.4846
Bi: 0.2543 0.2696 0.0119
Bi: 0.2557 0.2672 0.5114
Tb: 0.0000 0.5000 0.0000
Sr: 0.0000 0.0000 0.5000
Th: 0.5000 0.5000 0.0000
Th: 0.0000 0.5000 0.5000
Bi: 0.7457 0.7304 0.9881
Sr: 0.0000 0.0000 0.0000
Bi: 0.7443 0.7328 0.4886
Bi: 0.7576 0.2696 0.0119

Calculated values
- Space-group type: No. 166
- ΔE_f: -18.07 kcal/mol of atoms
- Uncorrected energy: -4.8253 eV/atom
- Size of the total moment: 0.000 μB per atom